1.
Material: Li5PmMg5
Method: DFT, PBE-GGA
State: optimized geometry

abc: 5.3483 5.3483 9.8166
angles: 90.00 90.00 120.00
Space group P-6m2 (No. 187)
Inequivalent atoms, fractional coordinates:
Li1 0.0000 0.0000 0.2351 x2
Li2 0.3413 0.1707 0.0000 x3
Pm1 0.3333 0.6667 0.5000 x1
Mg1 0.0000 0.0000 0.5000 x1
Mg2 0.3333 0.6667 0.1628 x2
Mg3 0.6667 0.3333 0.3224 x2

## Properties
**E_tot**: -2.01 eV/atom
**Formation energy**: 0.0213 eV/atom

=====

2.
Material: Y3ZrSb
Method: DFT, PBE-GGA
State: optimized geometry

abc: 5.472 5.472 5.472
angles: 90.00 90.00 90.00
Space group Pm-3m (No. 221)
Inequivalent atoms, fractional coordinates:
Y1 0.000 0.000 0.500 x3
Zr1 0.000 0.000 0.000 x1
Sb1 0.500 0.500 0.500 x1

## Properties
**Formation energy (no corrections)**: 481 meV per atom
**E_tot**: -5.93 eV/atom